First-principles (GGA-PBE) data for an optimized crystal structure of Cs2InAgI6, as listed in the Open Quantum Materials Database.

Distance to the lowest polymorph of the same formula   3 meV/atom

Cell: 14.6430 8.4570 8.4546 Å, 90.00 125.25 90.00°
Last column: nearest neighbours and their distance in Å.
Space group C2/m (No. 12)
Asymmetric unit:
Cs 0.2502 0.0000 0.2500  12 I 4.22-4.24
In 0.0000 0.0000 0.5000  6 I 2.98
Ag 0.0000 0.5000 0.0000  6 I 3.00
I 0.0007 0.2490 0.2515  1 In 2.98, 1 Ag 3.00
I 0.2491 0.0000 0.7502  1 In 2.98, 1 Ag 3.00

***

First-principles (GGA-PBE) data for an optimized crystal structure of CsInAgSe3, as listed in the Open Quantum Materials Database.

Energy   -3.376 eV/atom

Cell: 4.0735 16.6486 12.1691 Å, 90.00 90.00 90.00°
Last column: nearest neighbours and their distance in Å.
Space group Cmcm (No. 63)
Asymmetric unit:
Cs 0.0000 0.2305 0.2500  6 Se 3.53-3.76
In 0.0000 0.4984 0.7500  4 Se 2.61-2.63
Ag 0.0000 0.0000 0.0000  4 Se 2.70
Se 0.0000 0.0962 0.7500  2 In 2.61
Se 0.0000 0.4082 0.5728  1 In 2.63, 2 Ag 2.70